Here is LaMgOs2 after structural relaxation from Alexandria via LeMat-Bulk. Energies are from PBEsol.

## Properties
* ρ: 12.60 g/cm3
* energy of formation: 0.5836 eV/atom
* N(E_F): 2.55 states/eV/f.u.

Geometry as CIF:
```
data_LaMgOs2
_cell_length_a 5.343
_cell_length_b 5.343
_cell_length_c 5.343
_cell_angle_alpha 145.02
_cell_angle_beta 123.76
_cell_angle_gamma 67.97
_symmetry_space_group_name_H-M 'P 1'
_symmetry_Int_Tables_number 1
loop_
_symmetry_equiv_pos_as_xyz
'x,y,z'
loop_
_atom_site_label
_atom_site_fract_x
_atom_site_fract_y
_atom_site_fract_z
_atom_site_occupancy
La1 0.000 0.000 0.000 1
Mg1 0.500 0.500 0.000 1
Os1 0.252 0.752 0.500 1
Os2 0.748 0.248 0.500 1
```